[1]
# SCAN ScOsBr2, PBEsol geometry
data_ScOsBr2
_cell_length_a 13.726
_cell_length_b 3.254
_cell_length_c 4.271
_cell_angle_alpha 90.00
_cell_angle_beta 92.14
_cell_angle_gamma 90.00
_space_group_name_H-M_alt 'C 1 2/m 1'
_space_group_IT_number 12
loop_
_space_group_symop_operation_xyz
'x,y,z'
'-x,-y,-z'
'-x,y,-z'
'x,-y,z'
'x+1/2,y+1/2,z'
'-x+1/2,-y+1/2,-z'
'-x+1/2,y+1/2,-z'
'x+1/2,-y+1/2,z'
loop_
_atom_site_label
_atom_site_type_symbol
_atom_site_fract_x
_atom_site_fract_y
_atom_site_fract_z
Sc1 Sc 0.000 0.000 0.000
Os1 Os 0.000 0.500 0.500
Br1 Br 0.153 0.500 0.229
# - Size of the total moment: 0.0 Bohr magnetons per cell
# - Crystal system: monoclinic
# - Density: 6.9 g/cm³
# - Excess energy over the best structure of this formula in the dataset: 0 meV/atom

[2]
# SCAN ScOsBr2, PBEsol geometry
data_ScOsBr2
_cell_length_a 3.484
_cell_length_b 3.484
_cell_length_c 7.032
_cell_angle_alpha 90.00
_cell_angle_beta 90.00
_cell_angle_gamma 90.00
_space_group_name_H-M_alt 'P 4 m m'
_space_group_IT_number 99
loop_
_space_group_symop_operation_xyz
'x,y,z'
'-y,x,z'
'-x,-y,z'
'y,-x,z'
'-x,y,z'
'y,x,z'
'x,-y,z'
'-y,-x,z'
loop_
_atom_site_label
_atom_site_type_symbol
_atom_site_fract_x
_atom_site_fract_y
_atom_site_fract_z
Sc1 Sc 0.000 0.000 0.000
Os1 Os 0.500 0.500 0.845
Br1 Br 0.000 0.000 0.596
Br2 Br 0.500 0.500 0.202
# - Size of the total moment: 0.0 Bohr magnetons per cell
# - Crystal system: tetragonal
# - Density: 7.7 g/cm³
# - Excess energy over the best structure of this formula in the dataset: 225 meV/atom

[3]
# SCAN OsSeBr, PBEsol geometry
data_OsSeBr
_cell_length_a 3.6944
_cell_length_b 3.6944
_cell_length_c 5.4708
_cell_angle_alpha 90.00
_cell_angle_beta 90.00
_cell_angle_gamma 120.00
_space_group_name_H-M_alt 'P 3 m 1'
_space_group_IT_number 156
loop_
_space_group_symop_operation_xyz
'x,y,z'
'-y,x-y,z'
'-x+y,-x,z'
'-y,-x,z'
'-x+y,y,z'
'x,x-y,z'
loop_
_atom_site_label
_atom_site_type_symbol
_atom_site_fract_x
_atom_site_fract_y
_atom_site_fract_z
Os1 Os 0.0000 0.0000 0.0000
Se1 Se 0.3333 0.6667 0.7983
Br1 Br 0.6667 0.3333 0.2809
# - Size of the total moment: 0.0 Bohr magnetons per cell
# - Crystal system: trigonal
# - Electronic total energy: -111.10 eV/f.u.
# - Density: 9.0 g/cm³